1.
An optimized crystal structure of AlRuSe2Br. Source: Alexandria via LeMat-Bulk, functional GGA-PBE.

Cell and atoms, written as POSCAR:
```
AlRuSe2Br
1.0
-4.019 -1.586 -2.153
2.604 -1.443 -3.799
0.672 -4.807 2.287
Br Ru Al Se
1 1 1 2
direct
0.000 0.000 0.500
0.000 0.000 0.000
0.500 0.500 0.500
0.000 0.500 0.000
0.500 0.000 0.000
```

Results
M_tot ... 0.00 μB/f.u.
SG ... P4/mmm, No. 123
Uncorrected energy ... -20.25 eV/cell
Volume ... 125.0 Å³/f.u.



2.
An optimized crystal structure of AlRuSeBr2. Source: Alexandria via LeMat-Bulk, functional GGA-PBE.

Cell and atoms, written as POSCAR:
```
AlRuSeBr2
1.0
5.017 0.000 0.000
0.000 5.017 0.000
0.000 0.000 5.020
Se Al Br Ru
1 1 2 1
direct
0.000 0.000 0.500
0.000 0.000 0.000
0.500 0.000 0.000
0.000 0.500 0.000
0.500 0.500 0.500
```

Results
M_tot ... 3.33 μB/f.u.
SG ... P4/mmm, No. 123
Uncorrected energy ... -17.27 eV/cell
Volume ... 126.4 Å³/f.u.



3.
An optimized crystal structure of AlRuSe2Br. Source: Alexandria via LeMat-Bulk, functional GGA-PBE.

Cell and atoms, written as POSCAR:
```
AlRuSe2Br
1.0
-1.929 3.491 2.843
-1.103 -3.365 3.384
4.432 0.703 2.144
Ru Br Se Al
1 1 2 1
direct
0.500 0.500 0.500
0.000 0.000 0.500
0.500 0.000 0.000
0.000 0.500 0.000
0.000 0.000 0.000
```

Results
M_tot ... 3.66 μB/f.u.
SG ... P4/mmm, No. 123
Uncorrected energy ... -18.64 eV/cell
Volume ... 119.3 Å³/f.u.



4.
An optimized crystal structure of AlSn2RuBr. Source: Alexandria via LeMat-Bulk, functional GGA-PBE.

Cell and atoms, written as POSCAR:
```
AlSn2RuBr
1.0
-2.381 -4.965 -1.155
2.936 -0.604 -3.457
3.598 -2.540 3.500
Br Sn Al Ru
1 2 1 1
direct
0.000 0.000 0.000
0.000 0.000 0.500
0.500 0.000 0.000
0.500 0.500 0.500
0.000 0.500 0.000
```

Results
M_tot ... 0.73 μB/f.u.
SG ... P4/mmm, No. 123
Uncorrected energy ... -17.17 eV/cell
Volume ... 144.8 Å³/f.u.